No. 1
{"formula": "BaPuPdO6", "functional": "PBE", "state": "relaxed", "lattice": [[5.399, 0.000, 0.000], [-2.700, 4.676, 0.000], [0.000, 0.000, 11.917]], "species": ["Ba", "Ba", "Pu", "Pu", "Pd", "Pd", "O", "O", "O", "O", "O", "O", "O", "O", "O", "O", "O", "O"], "fractional_positions": [[0.000, 0.000, 0.000], [0.000, 0.000, 0.500], [0.333, 0.667, 0.250], [0.667, 0.333, 0.750], [0.333, 0.667, 0.750], [0.667, 0.333, 0.250], [0.001, 0.368, 0.154], [0.001, 0.633, 0.346], [0.367, 0.368, 0.346], [0.367, 0.999, 0.154], [0.368, 0.001, 0.654], [0.368, 0.367, 0.846], [0.632, 0.633, 0.154], [0.632, 0.999, 0.346], [0.633, 0.001, 0.846], [0.633, 0.632, 0.654], [0.999, 0.367, 0.654], [0.999, 0.632, 0.846]], "formation_energy_uncorrected_ev_per_atom": -1.942, "crystal_system": "trigonal", "final_energy_ev_per_atom": -7.63}



No. 2
{"formula": "PmTmCu", "functional": "PBE", "state": "relaxed", "lattice": [[4.763, 0.000, 0.000], [-2.382, 4.125, 0.000], [0.000, 0.000, 3.886]], "species": ["Pm", "Tm", "Cu"], "fractional_positions": [[0.000, 0.000, 0.000], [0.667, 0.333, 0.519], [0.333, 0.667, 0.353]], "relative_energy_mev_per_atom": 189.9, "ef_ev_per_atom": 0.05, "crystal_system": "trigonal", "final_energy_ev_per_atom": -4.39}



No. 3
{"formula": "SnOsN2", "functional": "PBE", "state": "relaxed", "lattice": [[1.554, 0.897, 6.625], [-1.554, 0.897, 6.625], [0.000, -1.794, 6.625]], "species": ["Sn", "Os", "N", "N"], "fractional_positions": [[0.000, 0.000, 0.000], [0.500, 0.500, 0.500], [0.114, 0.114, 0.114], [0.886, 0.886, 0.886]], "formation_energy_uncorrected_ev_per_atom": 0.594, "crystal_system": "trigonal", "final_energy_ev_per_atom": -7.38}



No. 4
{"formula": "Tb9Ho2Tm", "functional": "PBE", "state": "relaxed", "lattice": [[5.010, 0.000, 0.000], [0.000, 5.010, 0.000], [0.000, 0.000, 15.027]], "species": ["Tb", "Tb", "Tb", "Tb", "Tb", "Tb", "Tb", "Tb", "Tb", "Ho", "Ho", "Tm"], "fractional_positions": [[0.000, 0.000, 0.000], [0.000, 0.000, 0.333], [0.000, 0.000, 0.667], [0.000, 0.500, 0.166], [0.000, 0.500, 0.500], [0.000, 0.500, 0.834], [0.500, 0.000, 0.166], [0.500, 0.000, 0.500], [0.500, 0.000, 0.834], [0.500, 0.500, 0.333], [0.500, 0.500, 0.667], [0.500, 0.500, 0.000]], "relative_energy_mev_per_atom": 0.0, "ef_ev_per_atom": 0.02, "crystal_system": "tetragonal", "final_energy_ev_per_atom": -4.59}



No. 5
{"formula": "LaThCd3", "functional": "PBE", "state": "relaxed", "lattice": [[1.713, -15.472, 0.000], [1.713, 15.472, 0.000], [0.000, 0.000, 5.110]], "species": ["La", "La", "Th", "Th", "Cd", "Cd", "Cd", "Cd", "Cd", "Cd"], "fractional_positions": [[0.214, 0.786, 0.750], [0.786, 0.214, 0.250], [0.073, 0.927, 0.250], [0.927, 0.073, 0.750], [0.330, 0.670, 0.750], [0.381, 0.619, 0.250], [0.477, 0.523, 0.250], [0.523, 0.477, 0.750], [0.619, 0.381, 0.750], [0.670, 0.330, 0.250]], "ef_ev_per_atom": -0.22, "crystal_system": "orthorhombic", "final_energy_ev_per_atom": -3.24}



No. 6
{"formula": "SrAgS2Cl", "functional": "PBE", "state": "relaxed", "lattice": [[5.264, 0.000, 0.000], [0.000, 5.264, 0.000], [0.000, 0.000, 5.118]], "species": ["Sr", "Ag", "S", "S", "Cl"], "fractional_positions": [[0.000, 0.000, 0.000], [0.500, 0.500, 0.000], [0.000, 0.500, 0.500], [0.500, 0.000, 0.500], [0.000, 0.000, 0.500]], "formation_energy_uncorrected_ev_per_atom": 0.089, "relative_energy_mev_per_atom": 818.0, "crystal_system": "tetragonal", "final_energy_ev_per_atom": -2.84}



No. 7
{"formula": "ReTe2RhN", "functional": "PBE", "state": "relaxed", "lattice": [[5.313, 0.000, 0.000], [0.000, 5.313, 0.000], [0.000, 0.000, 3.686]], "species": ["Re", "Te", "Te", "Rh", "N"], "fractional_positions": [[0.000, 0.000, 0.000], [0.000, 0.500, 0.000], [0.500, 0.000, 0.000], [0.500, 0.500, 0.500], [0.000, 0.000, 0.500]], "formation_energy_uncorrected_ev_per_atom": 0.606, "relative_energy_mev_per_atom": 0.0, "crystal_system": "tetragonal", "final_energy_ev_per_atom": -6.28}



No. 8
{"formula": "Ce2HoRe", "functional": "PBE", "state": "relaxed", "lattice": [[1.929, 1.114, 8.878], [-1.929, 1.114, 8.878], [0.000, -2.227, 8.878]], "species": ["Ce", "Ce", "Ho", "Re"], "fractional_positions": [[0.228, 0.228, 0.228], [0.772, 0.772, 0.772], [0.000, 0.000, 0.000], [0.500, 0.500, 0.500]], "ef_ev_per_atom": 0.32, "crystal_system": "trigonal", "final_energy_ev_per_atom": -6.90}